[1]
VASP calculation (PBE) on ZrCu after structural relaxation.

Output
energy of formation: -86 meV per atom
SG: No. 11
DFT total energy: -6.218 eV/atom

Unit cell a=8.126 b=6.024 c=4.279 alpha=90.00 beta=90.00 gamma=90.13
Atoms (fractional coordinates):
Cu (0.477, 0.745, 0.000)
Cu (0.010, 0.752, 0.500)
Cu (0.175, 0.710, 0.000)
Cu (0.745, 0.310, 0.500)
Cu (0.047, 0.346, 0.500)
Cu (0.213, 0.303, 0.000)
Zr (0.284, 0.996, 0.500)
Zr (0.848, 0.557, 0.000)
Zr (0.374, 0.498, 0.500)
Zr (0.675, 0.854, 0.500)
Zr (0.547, 0.202, 0.000)
Zr (0.938, 0.060, 0.000)



[2]
VASP calculation (PBE) on SmReO3 after structural relaxation.

Output
SG: No. 140
DFT total energy: -8.327 eV/atom

Unit cell a=5.562 b=5.562 c=5.562 alpha=118.90 beta=118.90 gamma=91.92
Atoms (fractional coordinates):
O (0.328, 0.172, 0.500)
O (0.172, 0.672, 0.844)
O (0.250, 0.250, 0.000)
O (0.672, 0.828, 0.500)
O (0.750, 0.750, 0.000)
O (0.828, 0.328, 0.156)
Sm (0.250, 0.750, 0.500)
Sm (0.750, 0.250, 0.500)
Re (0.000, 0.000, 0.000)
Re (0.500, 0.500, 0.000)



[3]
VASP calculation (PBE) on PrTmH2Br4 after structural relaxation.

Output
SG: No. 187
DFT total energy: -4.329 eV/atom

Unit cell a=3.907 b=3.907 c=14.856 alpha=90.00 beta=90.00 gamma=120.00
Atoms (fractional coordinates):
Pr (0.000, 0.000, 0.000)
Br (0.667, 0.333, 0.135)
Br (0.333, 0.667, 0.625)
Br (0.667, 0.333, 0.865)
Br (0.333, 0.667, 0.375)
H (0.333, 0.667, 0.000)
H (0.667, 0.333, 0.500)
Tm (0.000, 0.000, 0.500)



[4]
VASP calculation (PBE) on RbPIrO after structural relaxation.

Output
SG: No. 129
polymorph energy (0 for the lowest one): 1.0736 eV/atom
DFT total energy: -4.457 eV/atom

Unit cell a=4.299 b=4.299 c=7.950 alpha=90.00 beta=90.00 gamma=90.00
Atoms (fractional coordinates):
P (0.250, 0.250, 0.805)
P (0.750, 0.750, 0.195)
O (0.250, 0.750, 0.000)
O (0.750, 0.250, 0.000)
Ir (0.250, 0.250, 0.087)
Ir (0.750, 0.750, 0.913)
Rb (0.250, 0.750, 0.500)
Rb (0.750, 0.250, 0.500)



[5]
VASP calculation (PBE) on HoNb2As3 after structural relaxation.

Output
SG: No. 164
DFT total energy: -7.134 eV/atom

Unit cell a=3.959 b=3.959 c=8.922 alpha=90.00 beta=90.00 gamma=120.00
Atoms (fractional coordinates):
Nb (0.333, 0.667, 0.865)
Nb (0.667, 0.333, 0.135)
Ho (0.000, 0.000, 0.500)
As (0.000, 0.000, 0.000)
As (0.333, 0.667, 0.309)
As (0.667, 0.333, 0.691)



[6]
VASP calculation (PBE) on MgZrAlFe after structural relaxation.

Output
SG: No. 216
polymorph energy (0 for the lowest one): 0.0000 eV/atom
DFT total energy: -5.640 eV/atom

Unit cell a=4.513 b=4.513 c=4.513 alpha=60.00 beta=60.00 gamma=60.00
Atoms (fractional coordinates):
Mg (0.250, 0.250, 0.250)
Al (0.000, 0.000, 0.000)
Fe (0.750, 0.750, 0.750)
Zr (0.500, 0.500, 0.500)



[7]
VASP calculation (PBE) on Na3ReW after structural relaxation.

Output
SG: No. 188
DFT total energy: -4.445 eV/atom

Unit cell a=4.588 b=8.539 c=8.539 alpha=60.00 beta=90.00 gamma=90.00
Atoms (fractional coordinates):
Re (0.000, 0.000, 0.000)
Re (0.500, 0.000, 0.000)
Na (0.750, 0.672, 0.984)
Na (0.250, 0.984, 0.672)
Na (0.250, 0.344, 0.984)
Na (0.250, 0.672, 0.344)
Na (0.750, 0.344, 0.672)
Na (0.750, 0.984, 0.344)
W (0.000, 0.333, 0.333)
W (0.500, 0.333, 0.333)



[8]
VASP calculation (PBE) on Cs2AgO4 after structural relaxation.

Output
SG: No. 227
DFT total energy: -3.491 eV/atom

Unit cell a=7.583 b=7.583 c=7.583 alpha=119.99 beta=119.99 gamma=90.01
Atoms (fractional coordinates):
O (0.646, 0.355, 0.709)
O (0.646, 0.937, 0.291)
O (0.687, 0.896, 0.791)
O (0.645, 0.354, 0.291)
O (0.104, 0.895, 0.791)
O (0.063, 0.354, 0.709)
O (0.105, 0.896, 0.209)
O (0.104, 0.313, 0.209)
Ag (0.000, 0.000, 0.000)
Ag (0.750, 0.250, 0.500)
Cs (0.875, 0.625, 0.250)
Cs (0.375, 0.625, 0.750)
Cs (0.375, 0.625, 0.250)
Cs (0.375, 0.125, 0.750)



[9]
VASP calculation (PBE) on PuPb after structural relaxation.

Output
SG: No. 216
DFT total energy: -8.129 eV/atom

Unit cell a=5.106 b=5.106 c=5.106 alpha=60.00 beta=60.00 gamma=60.00
Each line ends with the local moment (μB).
Atoms (fractional coordinates):
Pb (0.000, 0.000, 0.000)  0.06
Pu (0.250, 0.250, 0.250)  5.48



[10]
VASP calculation (PBE) on ZrCo2 after structural relaxation.

Output
energy of formation: 36 meV per atom
SG: No. 62
DFT total energy: -7.551 eV/atom

Unit cell a=5.970 b=3.062 c=9.608 alpha=90.00 beta=90.00 gamma=90.00
Each line ends with the local moment (μB).
Atoms (fractional coordinates):
Zr (0.272, 0.250, 0.201)  -0.22
Zr (0.772, 0.250, 0.299)  -0.22
Zr (0.728, 0.750, 0.799)  -0.22
Zr (0.228, 0.750, 0.701)  -0.22
Co (0.355, 0.750, 0.973)  1.23
Co (0.052, 0.250, 0.910)  1.04
Co (0.645, 0.250, 0.027)  1.23
Co (0.552, 0.250, 0.590)  1.05
Co (0.448, 0.750, 0.410)  1.05
Co (0.948, 0.750, 0.090)  1.04
Co (0.855, 0.750, 0.527)  1.23
Co (0.145, 0.250, 0.473)  1.23



[11]
VASP calculation (PBE) on Y2CdGe after structural relaxation.

Output
SG: No. 216
DFT total energy: -4.522 eV/atom

Unit cell a=5.229 b=5.229 c=5.229 alpha=60.00 beta=60.00 gamma=60.00
Each line ends with the local moment (μB).
Atoms (fractional coordinates):
Y (0.750, 0.750, 0.750)  0.24
Y (0.000, 0.000, 0.000)  0.25
Cd (0.250, 0.250, 0.250)  0.02
Ge (0.500, 0.500, 0.500)  0.01



[12]
VASP calculation (PBE) on SrPmSm after structural relaxation.

Output
SG: No. 216
polymorph energy (0 for the lowest one): 0.0000 eV/atom
DFT total energy: -2.918 eV/atom

Unit cell a=5.817 b=5.817 c=5.817 alpha=60.00 beta=60.00 gamma=60.00
Atoms (fractional coordinates):
Sr (0.750, 0.750, 0.750)
Pm (0.250, 0.250, 0.250)
Sm (0.000, 0.000, 0.000)



[13]
VASP calculation (PBE) on MgFeSnGe after structural relaxation.

Output
SG: No. 216
polymorph energy (0 for the lowest one): 0.0000 eV/atom
DFT total energy: -4.375 eV/atom

Unit cell a=4.658 b=4.658 c=4.658 alpha=60.00 beta=60.00 gamma=60.00
Atoms (fractional coordinates):
Ge (0.000, 0.000, 0.000)
Mg (0.750, 0.750, 0.750)
Fe (0.250, 0.250, 0.250)
Sn (0.500, 0.500, 0.500)



[14]
VASP calculation (PBE) on HfRePb after structural relaxation.

Output
SG: No. 216
DFT total energy: -8.154 eV/atom

Unit cell a=4.608 b=4.608 c=4.608 alpha=60.00 beta=60.00 gamma=60.00
Atoms (fractional coordinates):
Pb (0.750, 0.750, 0.750)
Re (0.000, 0.000, 0.000)
Hf (0.250, 0.250, 0.250)



[15]
VASP calculation (PBE) on LaOsNO after structural relaxation.

Output
SG: No. 26
polymorph energy (0 for the lowest one): 0.3719 eV/atom
DFT total energy: -8.221 eV/atom

Unit cell a=3.981 b=5.357 c=5.459 alpha=90.00 beta=90.00 gamma=90.00
Atoms (fractional coordinates):
N (0.000, 0.777, 0.464)
N (0.000, 0.277, 0.536)
La (0.500, 0.499, 0.742)
La (0.500, 0.999, 0.258)
Os (0.000, 0.492, 0.240)
Os (0.000, 0.992, 0.760)
O (0.500, 0.987, 0.826)
O (0.500, 0.487, 0.174)



[16]
VASP calculation (PBE) on UHgGe after structural relaxation.

Output
SG: No. 216
DFT total energy: -4.889 eV/atom

Unit cell a=4.822 b=4.822 c=4.822 alpha=60.00 beta=60.00 gamma=60.00
Each line ends with the local moment (μB).
Atoms (fractional coordinates):
Hg (0.000, 0.000, 0.000)  0.01
Ge (0.250, 0.250, 0.250)  -0.01
U (0.750, 0.750, 0.750)  2.60



[17]
VASP calculation (PBE) on MgTlNiW after structural relaxation.

Output
SG: No. 216
DFT total energy: -4.867 eV/atom

Unit cell a=4.560 b=4.560 c=4.560 alpha=60.00 beta=60.00 gamma=60.00
Atoms (fractional coordinates):
Mg (0.250, 0.250, 0.250)
W (0.500, 0.500, 0.500)
Tl (0.000, 0.000, 0.000)
Ni (0.750, 0.750, 0.750)



[18]
VASP calculation (PBE) on Lu2NbOs after structural relaxation.

Output
energy of formation: 113 meV per atom
SG: No. 216
DFT total energy: -7.479 eV/atom

Unit cell a=4.817 b=4.817 c=4.817 alpha=60.00 beta=60.00 gamma=60.00
Atoms (fractional coordinates):
Nb (0.500, 0.500, 0.500)
Os (0.250, 0.250, 0.250)
Lu (0.750, 0.750, 0.750)
Lu (0.000, 0.000, 0.000)



[19]
VASP calculation (PBE) on ZrCo2Pt after structural relaxation.

Output
energy of formation: -217 meV per atom
SG: No. 216
DFT total energy: -7.421 eV/atom

Unit cell a=4.405 b=4.405 c=4.405 alpha=60.00 beta=60.00 gamma=60.00
Each line ends with the local moment (μB).
Atoms (fractional coordinates):
Zr (0.250, 0.250, 0.250)  -0.13
Co (0.750, 0.750, 0.750)  1.68
Co (0.000, 0.000, 0.000)  1.39
Pt (0.500, 0.500, 0.500)  0.03



[20]
VASP calculation (PBE) on TbMgCuSe3 after structural relaxation.

Output
SG: No. 63
polymorph energy (0 for the lowest one): 0.0128 eV/atom
DFT total energy: -4.542 eV/atom

Unit cell a=6.701 b=6.701 c=10.680 alpha=90.00 beta=90.00 gamma=33.48
Atoms (fractional coordinates):
Se (0.650, 0.650, 0.920)
Se (0.350, 0.350, 0.420)
Se (0.102, 0.102, 0.250)
Se (0.898, 0.898, 0.750)
Se (0.650, 0.650, 0.580)
Se (0.350, 0.350, 0.080)
Mg (0.769, 0.769, 0.250)
Mg (0.231, 0.231, 0.750)
Cu (0.522, 0.522, 0.750)
Cu (0.478, 0.478, 0.250)
Tb (0.000, 0.000, 0.000)
Tb (0.000, 0.000, 0.500)